The following is a DFT calculation (GGA+U) of AcCo2O6 after structural relaxation.

uncorrected energy = -6.32 eV/atom

abc: 4.952 4.952 5.318
angles: 90.00 90.00 120.00
Site moments in Bohr magnetons follow the coordinates.
Atoms (fractional coordinates):
Ac1 0.000 0.000 0.000  0.04
Co1 0.333 0.667 0.500  1.07
Co2 0.667 0.333 0.500  1.07
O1 0.607 0.000 0.301  0.11
O2 0.393 0.393 0.301  0.11
O3 0.000 0.607 0.301  0.11
O4 0.607 0.607 0.699  0.11
O5 0.000 0.393 0.699  0.11
O6 0.393 0.000 0.699  0.11